# 1
VASP calculation (SCAN) on a crystal of Ho2Cr2C3 relaxed with PBEsol.

Values from the calculation:
* ΔH_f (0 K): -9.310 kcal/mol of atoms

Unit cell a=5.4050 b=5.4050 c=5.4847 alpha=105.16 beta=105.16 gamma=35.78
Fractional coordinates of all 7 atoms:
Ho (0.1060, 0.1060, 0.3167)
Ho (0.8940, 0.8940, 0.6833)
Cr (0.3434, 0.3434, 0.1113)
Cr (0.6566, 0.6566, 0.8887)
C (0.2160, 0.2160, 0.7687)
C (0.5000, 0.5000, 0.0000)
C (0.7840, 0.7840, 0.2313)


# 2
VASP calculation (SCAN) on a crystal of LaRu2 relaxed with PBEsol.

Values from the calculation:
* ΔH_f (0 K): 3.162 kcal/mol of atoms

Unit cell a=5.6776 b=5.6776 c=5.6776 alpha=150.40 beta=140.85 gamma=49.84
Fractional coordinates of all 3 atoms:
La (0.0000, 0.0000, 0.0000)
Ru (0.2915, 0.2915, 0.0000)
Ru (0.7085, 0.7085, 0.0000)


# 3
VASP calculation (SCAN) on a crystal of KLiCu2 relaxed with PBEsol.

Values from the calculation:
* ΔH_f (0 K): 7.450 kcal/mol of atoms
* E above lowest polymorph: 139 meV/atom

Unit cell a=2.7297 b=4.2956 c=6.8911 alpha=90.00 beta=101.15 gamma=90.00
Fractional coordinates of all 4 atoms:
K (0.0000, 0.0000, 0.0000)
Li (0.0000, 0.0000, 0.5000)
Cu (0.3502, 0.5000, 0.6490)
Cu (0.6498, 0.5000, 0.3510)


# 4
VASP calculation (SCAN) on a crystal of BeAlZn relaxed with PBEsol.

Values from the calculation:
* ΔH_f (0 K): 3.435 kcal/mol of atoms
* E above lowest polymorph: 0 meV/atom

Unit cell a=5.7748 b=5.7748 c=5.7748 alpha=153.19 beta=153.19 gamma=38.27
Fractional coordinates of all 3 atoms:
Be (0.0000, 0.0000, 0.0000)
Al (0.6579, 0.6579, 0.0000)
Zn (0.3523, 0.3523, 0.0000)


# 5
VASP calculation (SCAN) on a crystal of ReNiOs relaxed with PBEsol.

Values from the calculation:
* ΔH_f (0 K): 2.700 kcal/mol of atoms
* E above lowest polymorph: 109 meV/atom

Unit cell a=2.6852 b=2.6852 c=6.3824 alpha=90.00 beta=90.00 gamma=120.00
Fractional coordinates of all 3 atoms:
Re (0.0000, 0.0000, 0.0000)
Ni (0.3333, 0.6667, 0.6687)
Os (0.6667, 0.3333, 0.3354)


# 6
VASP calculation (SCAN) on a crystal of AgRuRh2 relaxed with PBEsol.

Values from the calculation:
* ΔH_f (0 K): 6.749 kcal/mol of atoms
* E above lowest polymorph: 165 meV/atom

Unit cell a=4.6751 b=4.6751 c=4.7342 alpha=99.40 beta=99.40 gamma=33.53
Fractional coordinates of all 4 atoms:
Ag (0.0000, 0.0000, 0.0000)
Ru (0.5000, 0.5000, 0.5000)
Rh (0.2440, 0.2440, 0.7376)
Rh (0.7560, 0.7560, 0.2624)


# 7
VASP calculation (SCAN) on a crystal of RbYAl3 relaxed with PBEsol.

Values from the calculation:
* ΔH_f (0 K): 16.917 kcal/mol of atoms
* E above lowest polymorph: 0 meV/atom

Unit cell a=5.6790 b=5.6790 c=5.6790 alpha=90.00 beta=90.00 gamma=90.00
Fractional coordinates of all 5 atoms:
Rb (0.0000, 0.0000, 0.0000)
Y (0.5000, 0.5000, 0.5000)
Al (0.0000, 0.5000, 0.5000)
Al (0.5000, 0.0000, 0.5000)
Al (0.5000, 0.5000, 0.0000)


# 8
VASP calculation (SCAN) on a crystal of Zr2BeZn relaxed with PBEsol.

Values from the calculation:
* ΔH_f (0 K): -5.000 kcal/mol of atoms
* E above lowest polymorph: 0 meV/atom

Unit cell a=4.5542 b=4.5542 c=4.5542 alpha=60.00 beta=60.00 gamma=60.00
Fractional coordinates of all 4 atoms:
Zr (0.2500, 0.2500, 0.2500)
Zr (0.7500, 0.7500, 0.7500)
Be (0.0000, 0.0000, 0.0000)
Zn (0.5000, 0.5000, 0.5000)


# 9
VASP calculation (SCAN) on a crystal of La2Os relaxed with PBEsol.

Values from the calculation:
* ΔH_f (0 K): -4.944 kcal/mol of atoms

Unit cell a=7.0305 b=7.0305 c=7.0305 alpha=90.00 beta=90.00 gamma=90.00
Fractional coordinates of all 12 atoms:
La (0.1806, 0.1806, 0.1806)
La (0.1806, 0.3194, 0.6806)
La (0.3194, 0.6806, 0.1806)
La (0.3194, 0.8194, 0.6806)
La (0.6806, 0.1806, 0.3194)
La (0.6806, 0.3194, 0.8194)
La (0.8194, 0.6806, 0.3194)
La (0.8194, 0.8194, 0.8194)
Os (0.0000, 0.0000, 0.5000)
Os (0.0000, 0.5000, 0.0000)
Os (0.5000, 0.0000, 0.0000)
Os (0.5000, 0.5000, 0.5000)


# 10
VASP calculation (SCAN) on a crystal of SrScAu relaxed with PBEsol.

Values from the calculation:
* ΔH_f (0 K): 0.149 kcal/mol of atoms

Unit cell a=4.7876 b=4.7876 c=4.7876 alpha=60.00 beta=60.00 gamma=60.00
Fractional coordinates of all 3 atoms:
Sr (0.0000, 0.0000, 0.0000)
Sc (0.7500, 0.7500, 0.7500)
Au (0.5000, 0.5000, 0.5000)


# 11
VASP calculation (SCAN) on a crystal of BeCo2AuN relaxed with PBEsol.

Values from the calculation:
* raw formation energy: 343 meV per atom

Unit cell a=3.5932 b=3.5932 c=4.3447 alpha=90.00 beta=90.00 gamma=90.00
Fractional coordinates of all 5 atoms:
Be (0.0000, 0.0000, 0.0000)
Co (0.0000, 0.5000, 0.5000)
Co (0.5000, 0.0000, 0.5000)
Au (0.5000, 0.5000, 0.0000)
N (0.5000, 0.5000, 0.5000)


# 12
VASP calculation (SCAN) on a crystal of LaFeP2O relaxed with PBEsol.

Values from the calculation:
* raw formation energy: -919 meV per atom

Unit cell a=4.6362 b=4.6362 c=3.7620 alpha=90.00 beta=90.00 gamma=90.00
Fractional coordinates of all 5 atoms:
La (0.0000, 0.0000, 0.0000)
Fe (0.5000, 0.5000, 0.5000)
P (0.0000, 0.5000, 0.5000)
P (0.5000, 0.0000, 0.5000)
O (0.5000, 0.5000, 0.0000)